Version P
A relaxed TaCu2Cl2 crystal. Source: Alexandria, functional PBE.

abc: 4.1111 4.1111 5.9517
angles: 69.80 69.80 90.00
Each line ends with the local moment (μB).
Fractional positions:
Cl  0.7500  0.2500  0.5000  0.01
Cl  0.2500  0.7500  0.5000  0.01
Cu  0.3900  0.3900  0.2200  0.05
Cu  0.6100  0.6100  0.7800  0.05
Ta  0.0000  0.0000  0.0000  1.65

=====

Version Q
A relaxed TaCu2Cl2 crystal. Source: Alexandria, functional PBE.

abc: 7.0555 7.0555 3.3192
angles: 90.00 90.00 90.00
Fractional positions:
Cl  0.1947  0.6947  0.5000
Cl  0.6947  0.8053  0.5000
Cl  0.8053  0.3053  0.5000
Cl  0.3053  0.1947  0.5000
Cu  0.3739  0.8739  0.0000
Cu  0.8739  0.6261  0.0000
Cu  0.6261  0.1261  0.0000
Cu  0.1261  0.3739  0.0000
Ta  0.0000  0.0000  0.0000
Ta  0.5000  0.5000  0.0000

=====

Consider the structures shown above. The least stable of them is version Q.